Below is crystalline ThTi2C at its relaxed geometry, with properties calculated at the PBE level.

Values from the calculation:
Calculated volume   18.1 A^3/atom
Mass density   7780 kg/m³
N(E_F)   2.1 states/eV per cell
Energy of formation from the pure elements   -211 meV per atom
Crystal system   trigonal

```
data_ThTi2C
_symmetry_space_group_name_H-M 'P 1'
_symmetry_Int_Tables_number 1
_symmetry_space_group_name_Hall 'P 1'
_cell_length_a 8.6651
_cell_length_b 8.6651
_cell_length_c 8.6651
_cell_angle_alpha 20.90
_cell_angle_beta 20.90
_cell_angle_gamma 20.90
loop_
_atom_site_label
_atom_site_type_symbol
_atom_site_fract_x
_atom_site_fract_y
_atom_site_fract_z
_atom_site_occupancy
Th1 Th 0.0000 0.0000 0.0000 1
Ti1 Ti 0.1227 0.1227 0.1227 1
Ti2 Ti 0.8773 0.8773 0.8773 1
C1 C 0.5000 0.5000 0.5000 1
```

---

Below is crystalline Na2Er2SnS6 at its relaxed geometry, with properties calculated at the PBE level.

Values from the calculation:
Energy relative to the elements, uncorrected   -1.41 eV per atom
Calculated volume   24.3 A^3/atom
Mass density   4294 kg/m³
Crystal system   monoclinic

```
data_Na2Er2SnS6
_symmetry_space_group_name_H-M 'P 1'
_symmetry_Int_Tables_number 1
_symmetry_space_group_name_Hall 'P 1'
_cell_length_a 6.7196
_cell_length_b 6.7196
_cell_length_c 7.1600
_cell_angle_alpha 98.62
_cell_angle_beta 98.62
_cell_angle_gamma 119.89
loop_
_atom_site_label
_atom_site_type_symbol
_atom_site_fract_x
_atom_site_fract_y
_atom_site_fract_z
_atom_site_occupancy
Na1 Na 0.1661 0.8339 0.0000 1
Na2 Na 0.8339 0.1661 0.0000 1
Er1 Er 0.3324 0.6676 0.5000 1
Er2 Er 0.6676 0.3324 0.5000 1
Sn1 Sn 0.0000 0.0000 0.5000 1
S1 S 0.0689 0.3931 0.7186 1
S2 S 0.2438 0.2438 0.2847 1
S3 S 0.3931 0.0689 0.7186 1
S4 S 0.6069 0.9311 0.2814 1
S5 S 0.7562 0.7562 0.7153 1
S6 S 0.9311 0.6069 0.2814 1
```